[1]
Compound: CaCd2Fe
Source: the Alexandria database
Functional: PBEsol
Structure: optimized geometry

abc: 3.1641 3.1641 9.6889
angles: 80.60 80.60 60.00
With the nearest neighbours (Å) after each atom.
Element x y z (fractional)
Fe1 0.5000 0.5000 0.5000  6 Cd 2.76
Cd1 0.7607 0.7607 0.7179  3 Fe 2.76
Cd2 0.2393 0.2393 0.2821  3 Fe 2.76
Ca1 0.0000 0.0000 0.0000  6 Ca 3.16, 6 Cd 3.25

Results
Total moment = 2.6 μB/f.u.
Energy of formation from the pure elements = 0.38 eV per atom
Calculated volume = 82.5 Å³/cell
Uncorrected energy = -2.989 eV/atom

---

[2]
Compound: CrIr
Source: the Alexandria database
Functional: PBEsol
Structure: optimized geometry

abc: 4.1874 4.6035 5.2567
angles: 90.00 90.00 90.00
With the nearest neighbours (Å) after each atom.
Element x y z (fractional)
Cr1 0.7500 0.9156 0.6231  8 Ir 2.57-2.68, 4 Cr 2.58-2.66
Cr2 0.7500 0.4156 0.8769  8 Ir 2.57-2.68, 4 Cr 2.58-2.66
Cr3 0.2500 0.0844 0.3769  8 Ir 2.57-2.68, 4 Cr 2.58-2.66
Cr4 0.2500 0.5844 0.1231  8 Ir 2.57-2.68, 4 Cr 2.58-2.66
Ir1 0.7500 0.4075 0.3724  8 Cr 2.57-2.68, 4 Ir 2.63-2.64
Ir2 0.2500 0.0925 0.8724  8 Cr 2.57-2.68, 4 Ir 2.63-2.64
Ir3 0.2500 0.5925 0.6276  8 Cr 2.57-2.68, 4 Ir 2.63-2.64
Ir4 0.7500 0.9075 0.1276  8 Cr 2.57-2.68, 4 Ir 2.63-2.64

Results
Total moment = 0.0 μB/f.u.
Energy of formation from the pure elements = -0.20 eV per atom
Calculated volume = 101.3 Å³/cell
Uncorrected energy = -10.233 eV/atom

---

[3]
Compound: Na2CuBS
Source: the Alexandria database
Functional: PBEsol
Structure: optimized geometry

abc: 3.8011 4.9312 4.9312
angles: 90.00 90.00 90.00
With the nearest neighbours (Å) after each atom.
Element x y z (fractional)
Na1 0.0000 0.0000 0.5000  2 B 2.47
Na2 0.0000 0.5000 0.0000  2 B 2.47
Cu1 0.5000 0.0000 0.0000  2 B 1.90
B1 0.0000 0.0000 0.0000  2 Cu 1.90
S1 0.5000 0.5000 0.5000  8 Na 3.11

Results
Total moment = 0.0 μB/f.u.
Calculated volume = 92.4 Å³/cell
Energy relative to the elements, uncorrected = 1.96 eV/f.u.
Uncorrected energy = -3.315 eV/atom

---

[4]
Compound: Ba2MgHg
Source: the Alexandria database
Functional: PBEsol
Structure: optimized geometry

abc: 4.0119 5.9394 6.9945
angles: 115.12 106.67 90.00
With the nearest neighbours (Å) after each atom.
Element x y z (fractional)
Mg1 0.2000 0.7000 0.4000  2 Hg 2.87
Hg1 0.5295 0.5295 0.0590  2 Mg 2.87
Ba1 0.9810 0.9810 0.9620  4 Hg 3.63, 4 Ba 3.76-4.01, 4 Mg 3.93-3.97
Ba2 0.7895 0.2895 0.5790  2 Hg 3.51, 4 Mg 3.74, 2 Ba 3.76

Results
Total moment = 0.0 μB/f.u.
Energy of formation from the pure elements = -0.28 eV per atom
Relative energy among the computed polymorphs = 34.0 meV/atom
Calculated volume = 143.1 Å³/cell
Uncorrected energy = -1.923 eV/atom